Model 1:
The following is a PBE calculation of crystalline AcTm2Tl at its relaxed geometry, from Alexandria via LeMat-Bulk.

volume	31.75	A^3/atom
space group	P4/mmm, No. 123
D(E_F)	4.11	states/eV per cell

Cell lengths 3.708, 3.708, 9.236 Å; angles 90.00, 90.00, 90.00 degrees
Fractional positions:
Ac: 0.000 0.000 0.000
Tm: 0.500 0.500 0.287
Tm: 0.500 0.500 0.713
Tl: 0.000 0.000 0.500

=====

Model 2:
The following is a PBE calculation of crystalline AcTm2Tl at its relaxed geometry, from Alexandria via LeMat-Bulk.

volume	33.35	A^3/atom
space group	R-3m, No. 166
D(E_F)	5.63	states/eV per cell

Cell lengths 6.260, 6.260, 6.260 Å; angles 50.21, 50.21, 50.21 degrees
Fractional positions:
Ac: 0.000 0.000 0.000
Tm: 0.221 0.221 0.221
Tm: 0.779 0.779 0.779
Tl: 0.500 0.500 0.500

=====

Model 3:
The following is a PBE calculation of crystalline AcTm2Tl at its relaxed geometry, from Alexandria via LeMat-Bulk.

volume	31.47	A^3/atom
space group	P4/mmm, No. 123
D(E_F)	5.70	states/eV per cell

Cell lengths 5.027, 5.027, 4.981 Å; angles 90.00, 90.00, 90.00 degrees
Fractional positions:
Ac: 0.000 0.000 0.000
Tm: 0.000 0.500 0.500
Tm: 0.500 0.000 0.500
Tl: 0.500 0.500 0.000

=====

Computed stability ranking, most favorable first: model 1, model 3, model 2

=====

Model 1:
The following is a PBE calculation of crystalline Ac2TmTl at its relaxed geometry, from Alexandria via LeMat-Bulk.

volume	36.02	A^3/atom
space group	Fm-3m, No. 225
D(E_F)	7.36	states/eV per cell

Cell lengths 5.884, 5.884, 5.884 Å; angles 60.00, 60.00, 60.00 degrees
Fractional positions:
Ac: 0.250 0.250 0.250
Ac: 0.750 0.750 0.750
Tm: 0.000 0.000 0.000
Tl: 0.500 0.500 0.500

=====

Model 2:
The following is a PBE calculation of crystalline Ac2TmTl at its relaxed geometry, from Alexandria via LeMat-Bulk.

volume	35.02	A^3/atom
space group	R3m, No. 160
D(E_F)	7.45	states/eV per cell

Cell lengths 5.827, 5.827, 5.827 Å; angles 60.05, 60.05, 60.05 degrees
Fractional positions:
Ac: 0.000 0.000 0.000
Ac: 0.250 0.250 0.250
Tm: 0.501 0.501 0.501
Tl: 0.750 0.750 0.750

=====

Model 3:
The following is a PBE calculation of crystalline Ac2TmTl at its relaxed geometry, from Alexandria via LeMat-Bulk.

volume	35.16	A^3/atom
space group	P4/mmm, No. 123
D(E_F)	6.35	states/eV per cell

Cell lengths 5.210, 5.210, 5.180 Å; angles 90.00, 90.00, 90.00 degrees
Fractional positions:
Ac: 0.000 0.500 0.000
Ac: 0.500 0.000 0.000
Tm: 0.000 0.000 0.500
Tl: 0.500 0.500 0.500

=====

Model 4:
The following is a PBE calculation of crystalline Ac2TmTl at its relaxed geometry, from Alexandria via LeMat-Bulk.

volume	39.95	A^3/atom
space group	R-3m, No. 166
D(E_F)	4.67	states/eV per cell

Cell lengths 13.025, 13.025, 13.025 Å; angles 16.73, 16.73, 16.73 degrees
Fractional positions:
Ac: 0.090 0.090 0.090
Ac: 0.910 0.910 0.910
Tm: 0.500 0.500 0.500
Tl: 0.000 0.000 0.000

=====

Computed stability ranking, most favorable first: model 3, model 1, model 2, model 4

=====

Model 1:
The following is a PBE calculation of crystalline AcTmTl at its relaxed geometry, from Alexandria via LeMat-Bulk.

volume	33.30	A^3/atom
space group	I4mm, No. 107
D(E_F)	2.23	states/eV per cell

Cell lengths 7.399, 7.399, 7.399 Å; angles 150.19, 150.19, 42.67 degrees
Fractional positions:
Ac: 0.000 0.000 0.000
Tm: 0.306 0.306 0.000
Tl: 0.676 0.676 0.000

=====

Model 2:
The following is a PBE calculation of crystalline AcTmTl at its relaxed geometry, from Alexandria via LeMat-Bulk.

volume	37.67	A^3/atom
space group	F-43m, No. 216
D(E_F)	5.00	states/eV per cell

Cell lengths 5.427, 5.427, 5.427 Å; angles 60.00, 60.00, 60.00 degrees
Fractional positions:
Ac: 0.000 0.000 0.000
Tm: 0.500 0.500 0.500
Tl: 0.750 0.750 0.750

=====

Computed stability ranking, most favorable first: model 1, model 2

=====

Model 1:
The following is a PBE calculation of crystalline Ac2TmTl3 at its relaxed geometry, from Alexandria via LeMat-Bulk.

volume	32.17	A^3/atom
space group	P4/mmm, No. 123
D(E_F)	5.41	states/eV per cell

Cell lengths 3.952, 3.952, 12.354 Å; angles 90.00, 90.00, 90.00 degrees
Fractional positions:
Ac: 0.000 0.000 0.179
Ac: 0.000 0.000 0.821
Tm: 0.000 0.000 0.500
Tl: 0.500 0.500 0.000
Tl: 0.500 0.500 0.361
Tl: 0.500 0.500 0.639

=====

Model 2:
The following is a PBE calculation of crystalline Ac2TmTl3 at its relaxed geometry, from Alexandria via LeMat-Bulk.

volume	35.68	A^3/atom
space group	Immm, No. 71
D(E_F)	8.22	states/eV per cell

Cell lengths 9.025, 9.025, 9.025 Å; angles 154.90, 136.42, 50.95 degrees
Fractional positions:
Ac: 0.175 0.175 0.000
Ac: 0.825 0.825 0.000
Tm: 0.500 0.500 0.000
Tl: 0.000 0.500 0.500
Tl: 0.351 0.851 0.500
Tl: 0.649 0.149 0.500

=====

Computed stability ranking, most favorable first: model 1, model 2

=====

Model 1:
The following is a PBE calculation of crystalline Ac2Y3Tl4 at its relaxed geometry, from Alexandria via LeMat-Bulk.

volume	32.22	A^3/atom
space group	P2_1/c, No. 14
D(E_F)	16.32	states/eV per cell

Cell lengths 8.605, 8.565, 8.296 Å; angles 90.00, 108.49, 90.00 degrees
Fractional positions:
Ac: 0.191 0.178 0.067
Ac: 0.191 0.322 0.567
Ac: 0.809 0.678 0.433
Ac: 0.809 0.822 0.933
Y: 0.249 0.666 0.249
Y: 0.249 0.834 0.749
Y: 0.500 0.000 0.500
Y: 0.500 0.500 0.000
Y: 0.751 0.166 0.251
Y: 0.751 0.334 0.751
Tl: 0.083 0.541 0.857
Tl: 0.083 0.959 0.357
Tl: 0.500 0.128 0.866
Tl: 0.500 0.372 0.366
Tl: 0.500 0.628 0.634
Tl: 0.500 0.872 0.134
Tl: 0.917 0.041 0.643
Tl: 0.917 0.459 0.143

=====

Model 2:
The following is a PBE calculation of crystalline Ac2Y3Tl4 at its relaxed geometry, from Alexandria via LeMat-Bulk.

volume	32.61	A^3/atom
space group	Cmce, No. 64
D(E_F)	17.29	states/eV per cell

Cell lengths 9.400, 9.400, 9.270 Å; angles 90.00, 90.00, 134.22 degrees
Fractional positions:
Ac: 0.111 0.889 0.920
Ac: 0.389 0.611 0.420
Ac: 0.611 0.389 0.580
Ac: 0.889 0.111 0.080
Y: 0.000 0.000 0.500
Y: 0.036 0.464 0.750
Y: 0.464 0.036 0.250
Y: 0.500 0.500 0.000
Y: 0.536 0.964 0.750
Y: 0.964 0.536 0.250
Tl: 0.185 0.815 0.542
Tl: 0.213 0.287 0.750
Tl: 0.287 0.213 0.250
Tl: 0.315 0.685 0.042
Tl: 0.685 0.315 0.958
Tl: 0.713 0.787 0.750
Tl: 0.787 0.713 0.250
Tl: 0.815 0.185 0.458

=====

Computed stability ranking, most favorable first: model 1, model 2

=====

Model 1:
The following is a PBE calculation of crystalline AcYTl at its relaxed geometry, from Alexandria via LeMat-Bulk.

volume	35.05	A^3/atom
space group	P3m1, No. 156
D(E_F)	4.32	states/eV per cell

Cell lengths 5.384, 5.384, 4.188 Å; angles 90.00, 90.00, 120.00 degrees
Fractional positions:
Ac: 0.000 0.000 0.000
Y: 0.667 0.333 0.501
Tl: 0.333 0.667 0.497

=====

Model 2:
The following is a PBE calculation of crystalline AcYTl at its relaxed geometry, from Alexandria via LeMat-Bulk.

volume	38.28	A^3/atom
space group	F-43m, No. 216
D(E_F)	5.40	states/eV per cell

Cell lengths 5.456, 5.456, 5.456 Å; angles 60.00, 60.00, 60.00 degrees
Fractional positions:
Ac: 0.000 0.000 0.000
Y: 0.500 0.500 0.500
Tl: 0.750 0.750 0.750

=====

Computed stability ranking, most favorable first: model 1, model 2

=====

Model 1:
The following is a PBE calculation of crystalline AcYTl4 at its relaxed geometry, from Alexandria via LeMat-Bulk.

volume	30.28	A^3/atom
space group	F-43m, No. 216
D(E_F)	5.04	states/eV per cell

Cell lengths 6.357, 6.357, 6.357 Å; angles 60.00, 60.00, 60.00 degrees
Fractional positions:
Ac: 0.000 0.000 0.000
Y: 0.750 0.750 0.750
Tl: 0.375 0.375 0.375
Tl: 0.375 0.375 0.874
Tl: 0.375 0.874 0.375
Tl: 0.874 0.375 0.375

=====

Model 2:
The following is a PBE calculation of crystalline AcYTl4 at its relaxed geometry, from Alexandria via LeMat-Bulk.

volume	35.66	A^3/atom
space group	C2/m, No. 12
D(E_F)	5.01	states/eV per cell

Cell lengths 5.058, 5.058, 8.362 Å; angles 90.08, 90.08, 89.97 degrees
Fractional positions:
Ac: 0.000 0.000 0.000
Y: 0.500 0.500 0.500
Tl: 0.001 0.500 0.719
Tl: 0.500 0.001 0.719
Tl: 0.500 0.999 0.281
Tl: 0.999 0.500 0.281

=====

Computed stability ranking, most favorable first: model 1, model 2

=====

Model 1:
The following is a PBE calculation of crystalline Ac2TlZn2 at its relaxed geometry, from Alexandria via LeMat-Bulk.

volume	28.95	A^3/atom
space group	P4/mbm, No. 127
D(E_F)	11.05	states/eV per cell

Cell lengths 7.666, 7.666, 4.926 Å; angles 90.00, 90.00, 90.00 degrees
Fractional positions:
Ac: 0.178 0.322 0.000
Ac: 0.322 0.822 0.000
Ac: 0.678 0.178 0.000
Ac: 0.822 0.678 0.000
Tl: 0.000 0.000 0.500
Tl: 0.500 0.500 0.500
Zn: 0.120 0.620 0.500
Zn: 0.380 0.120 0.500
Zn: 0.620 0.880 0.500
Zn: 0.880 0.380 0.500

=====

Model 2:
The following is a PBE calculation of crystalline Ac2TlZn2 at its relaxed geometry, from Alexandria via LeMat-Bulk.

volume	29.38	A^3/atom
space group	C2/m, No. 12
D(E_F)	10.37	states/eV per cell

Cell lengths 6.309, 6.309, 11.706 Å; angles 115.76, 115.76, 45.64 degrees
Fractional positions:
Ac: 0.016 0.016 0.331
Ac: 0.192 0.192 0.102
Ac: 0.808 0.808 0.898
Ac: 0.984 0.984 0.669
Tl: 0.274 0.274 0.653
Tl: 0.726 0.726 0.347
Zn: 0.370 0.370 0.444
Zn: 0.482 0.482 0.105
Zn: 0.518 0.518 0.895
Zn: 0.630 0.630 0.556

=====

Computed stability ranking, most favorable first: model 1, model 2

=====

Model 1:
The following is a PBE calculation of crystalline Ac4Tl2Zn at its relaxed geometry, from Alexandria via LeMat-Bulk.

volume	37.13	A^3/atom
space group	R-3m, No. 166
D(E_F)	8.78	states/eV per cell

Cell lengths 9.783, 9.783, 9.783 Å; angles 33.92, 33.92, 33.92 degrees
Fractional positions:
Ac: 0.124 0.124 0.124
Ac: 0.375 0.375 0.375
Ac: 0.625 0.625 0.625
Ac: 0.876 0.876 0.876
Tl: 0.250 0.250 0.250
Tl: 0.750 0.750 0.750
Zn: 0.500 0.500 0.500

=====

Model 2:
The following is a PBE calculation of crystalline Ac4Tl2Zn at its relaxed geometry, from Alexandria via LeMat-Bulk.

volume	37.94	A^3/atom
space group	C2/m, No. 12
D(E_F)	8.18	states/eV per cell

Cell lengths 9.587, 9.587, 7.591 Å; angles 112.84, 112.84, 24.50 degrees
Fractional positions:
Ac: 0.089 0.089 0.438
Ac: 0.374 0.374 0.053
Ac: 0.626 0.626 0.947
Ac: 0.911 0.911 0.562
Tl: 0.252 0.252 0.321
Tl: 0.748 0.748 0.679
Zn: 0.000 0.000 0.000

=====

Computed stability ranking, most favorable first: model 1, model 2

=====

Model 1:
The following is a PBE calculation of crystalline Ac4Tl3Zn at its relaxed geometry, from Alexandria via LeMat-Bulk.

volume	35.46	A^3/atom
space group	Pmm2, No. 25
D(E_F)	9.94	states/eV per cell

Cell lengths 4.722, 4.915, 12.223 Å; angles 90.00, 90.00, 90.00 degrees
Fractional positions:
Ac: 0.000 0.000 0.000
Ac: 0.000 0.500 0.480
Ac: 0.500 0.000 0.710
Ac: 0.500 0.500 0.215
Tl: 0.000 0.500 0.766
Tl: 0.500 0.000 0.424
Tl: 0.500 0.500 0.934
Zn: 0.000 0.000 0.277

=====

Model 2:
The following is a PBE calculation of crystalline Ac4Tl3Zn at its relaxed geometry, from Alexandria via LeMat-Bulk.

volume	33.86	A^3/atom
space group	P4/mmm, No. 123
D(E_F)	7.73	states/eV per cell

Cell lengths 3.975, 3.975, 17.144 Å; angles 90.00, 90.00, 90.00 degrees
Fractional positions:
Ac: 0.000 0.000 0.110
Ac: 0.000 0.000 0.370
Ac: 0.000 0.000 0.630
Ac: 0.000 0.000 0.890
Tl: 0.500 0.500 0.238
Tl: 0.500 0.500 0.500
Tl: 0.500 0.500 0.762
Zn: 0.500 0.500 0.000

=====

Computed stability ranking, most favorable first: model 2, model 1

=====

Model 1:
The following is a PBE calculation of crystalline AcTlZn at its relaxed geometry, from Alexandria via LeMat-Bulk.

volume	29.12	A^3/atom
space group	Imm2, No. 44
D(E_F)	2.87	states/eV per cell

Cell lengths 6.449, 6.449, 6.449 Å; angles 135.08, 95.36, 101.44 degrees
Fractional positions:
Ac: 0.000 0.000 0.000
Ac: 0.497 0.497 0.000
Tl: 0.043 0.723 0.320
Tl: 0.403 0.723 0.680
Zn: 0.632 0.289 0.344
Zn: 0.945 0.289 0.656

=====

Model 2:
The following is a PBE calculation of crystalline AcTlZn at its relaxed geometry, from Alexandria via LeMat-Bulk.

volume	29.02	A^3/atom
space group	P4/nmm, No. 129
D(E_F)	5.62	states/eV per cell

Cell lengths 3.798, 3.798, 12.069 Å; angles 90.00, 90.00, 90.00 degrees
Fractional positions:
Ac: 0.250 0.250 0.220
Ac: 0.750 0.750 0.780
Tl: 0.250 0.250 0.580
Tl: 0.750 0.750 0.420
Zn: 0.250 0.250 0.945
Zn: 0.750 0.750 0.055

=====

Model 3:
The following is a PBE calculation of crystalline AcTlZn at its relaxed geometry, from Alexandria via LeMat-Bulk.

volume	29.76	A^3/atom
space group	C2/m, No. 12
D(E_F)	6.78	states/eV per cell

Cell lengths 9.038, 9.038, 4.278 Å; angles 101.86, 101.86, 31.53 degrees
Fractional positions:
Ac: 0.110 0.110 0.348
Ac: 0.890 0.890 0.652
Tl: 0.297 0.297 0.131
Tl: 0.703 0.703 0.869
Zn: 0.463 0.463 0.216
Zn: 0.537 0.537 0.784

=====

Computed stability ranking, most favorable first: model 1, model 3, model 2